# 1
DFT (PBE) results for a geometry-optimized La2SnAs structure.

Calculated values
energy of formation from the pure elements: -4.7 eV per formula unit
energy above the most stable polymorph in this dataset: 0 meV per atom

Structure (POSCAR):
```
La2SnAs
1.0
2.2926 -12.3145 0.0000
2.2926 12.3145 0.0000
0.0000 0.0000 4.4113
La Sn As
4 2 2
direct
0.0691 0.9309 0.7500 La
0.3109 0.6891 0.7500 La
0.6891 0.3109 0.2500 La
0.9309 0.0691 0.2500 La
0.4577 0.5423 0.7500 Sn
0.5423 0.4577 0.2500 Sn
0.1892 0.8108 0.7500 As
0.8108 0.1892 0.2500 As
```

---

# 2
DFT (PBE) results for a geometry-optimized YCu2Se structure.

Calculated values
formation energy from raw total energies: -0.427 eV/atom

Structure (POSCAR):
```
YCu2Se
1.0
3.9424 0.0000 0.0000
0.0000 3.9495 0.0000
-0.0256 0.0000 4.7603
Y Cu Se
1 2 1
direct
0.0000 0.0000 0.0000 Y
0.0000 0.5000 0.5000 Cu
0.5000 0.0000 0.5000 Cu
0.5000 0.5000 0.0000 Se
```

---

# 3
DFT (PBE) results for a geometry-optimized SrMn2CoC structure.

Calculated values
energy of formation from the pure elements: 8.3 eV per formula unit

Structure (POSCAR):
```
SrMn2CoC
1.0
4.4351 0.0000 0.0000
0.0000 4.4351 0.0000
0.0000 0.0000 5.6365
Sr Mn Co C
1 2 1 1
direct
0.0000 0.0000 0.0000 Sr
0.0000 0.5000 0.5000 Mn
0.5000 0.0000 0.5000 Mn
0.0000 0.0000 0.5000 Co
0.5000 0.5000 0.0000 C
```

---

# 4
DFT (PBE) results for a geometry-optimized CaCr2Br2 structure.

Calculated values
formation energy from raw total energies: 0.213 eV/atom
energy above the most stable polymorph in this dataset: 137 meV per atom

Structure (POSCAR):
```
CaCr2Br2
1.0
7.4464 0.0000 0.0000
0.0000 7.4464 0.0000
0.0000 0.0000 4.5604
Ca Cr Br
2 4 4
direct
0.0000 0.0000 0.0000 Ca
0.5000 0.5000 0.0000 Ca
0.0850 0.4150 0.0000 Cr
0.4150 0.9150 0.0000 Cr
0.5850 0.0850 0.0000 Cr
0.9150 0.5850 0.0000 Cr
0.1732 0.3268 0.5000 Br
0.3268 0.8268 0.5000 Br
0.6732 0.1732 0.5000 Br
0.8268 0.6732 0.5000 Br
```

---

Computed E_tot (eV/f.u.) in order:
-23.22 -19.85 -28.10 -23.53
Computed size of the total moment (μB per cell) in order:
0.00 0.00 6.90 0.36